# PBE-GGA YCd3I, optimized geometry
data_YCd3I
_symmetry_space_group_name_H-M 'P m -3 m'
_symmetry_Int_Tables_number 221
_symmetry_space_group_name_Hall '-P 4 2 3'
_cell_length_a 6.1255
_cell_length_b 6.1255
_cell_length_c 6.1255
_cell_angle_alpha 90.00
_cell_angle_beta 90.00
_cell_angle_gamma 90.00
loop_
_atom_site_label
_atom_site_fract_x
_atom_site_fract_y
_atom_site_fract_z
Y1 0.0000 0.0000 0.0000
Cd1 0.0000 0.0000 0.5000
I1 0.5000 0.5000 0.5000
# Crystal system: cubic
# Electronic total energy: -1.773 eV per atom
# D(E_F): 0.69 states/eV per atom
# V: 45.97 Å³/atom